Entry 1:
A plane-wave DFT calculation with PBE was carried out for crystalline Tb3CeDy2Tm6 at its relaxed geometry.

The space group is C2/m (No. 12) and the conventional cell measures 6.100, 10.559 and 11.625 Å, with angles of 90.00, 100.06 and 90.00 degrees. Symmetry generates all atoms from Tb at (0.000, 0.000, 0.000), Tb at (0.000, 0.332, 0.000), Ce at (0.000, 0.500, 0.500), Dy at (0.000, 0.167, 0.500), Tm at (0.248, 0.500, 0.250) and Tm at (0.249, 0.335, 0.749).



Entry 2:
A plane-wave DFT calculation with PBE was carried out for crystalline TbCe2Dy6Tm3 at its relaxed geometry.

The space group is C2/m (No. 12) and the conventional cell measures 6.103, 10.570 and 11.685 Å, with angles of 90.00, 100.03 and 90.00 degrees. Symmetry generates all atoms from Tb at (0.000, 0.000, 0.000), Ce at (0.000, 0.333, 0.000), Dy at (0.248, 0.332, 0.749), Dy at (0.249, 0.500, 0.251), Tm at (0.000, 0.166, 0.500) and Tm at (0.000, 0.500, 0.500).



Entry 3:
A plane-wave DFT calculation with PBE was carried out for crystalline Tb2CeDy3Tm6 at its relaxed geometry.

The space group is C2/m (No. 12) and the conventional cell measures 6.099, 10.556 and 11.624 Å, with angles of 90.00, 100.06 and 90.00 degrees. Symmetry generates all atoms from Tb at (0.000, 0.167, 0.000), Ce at (0.000, 0.500, 0.000), Dy at (0.000, 0.000, 0.500), Dy at (0.000, 0.333, 0.500), Tm at (0.247, 0.500, 0.750) and Tm at (0.249, 0.334, 0.250).



Entry 4:
A plane-wave DFT calculation with PBE was carried out for crystalline Tb3Ce2DyTm6 at its relaxed geometry.

The space group is C2/m (No. 12) and the conventional cell measures 6.088, 10.539 and 11.600 Å, with angles of 90.00, 100.06 and 90.00 degrees. Symmetry generates all atoms from Tb at (0.000, 0.000, 0.000), Tb at (0.000, 0.334, 0.000), Ce at (0.000, 0.166, 0.500), Dy at (0.000, 0.500, 0.500), Tm at (0.248, 0.000, 0.749) and Tm at (0.249, 0.168, 0.251).



Entry 5:
A plane-wave DFT calculation with PBE was carried out for crystalline TbCeDy5Y2 at its relaxed geometry.

The space group is Cmc2_1 (No. 36) and the conventional cell measures 5.621, 20.016 and 10.388 Å, with angles of 90.00, 90.00 and 90.00 degrees. Symmetry generates all atoms from Tb at (0.000, 0.089, 0.000), Ce at (0.000, 0.298, 0.562), Dy at (0.000, 0.023, 0.289), Dy at (0.000, 0.107, 0.577), Dy at (0.000, 0.202, 0.252), Dy at (0.000, 0.222, 0.859), Dy at (0.000, 0.482, 0.573), Y at (0.000, 0.386, 0.870) and Y at (0.000, 0.387, 0.282).



Entry 6:
A plane-wave DFT calculation with PBE was carried out for crystalline Tb5CeDy2Y at its relaxed geometry.

The space group is Cmc2_1 (No. 36) and the conventional cell measures 5.704, 21.636 and 9.539 Å, with angles of 90.00, 90.00 and 90.00 degrees. Symmetry generates all atoms from Tb at (0.000, 0.013, 0.000), Tb at (0.000, 0.267, 0.320), Tb at (0.000, 0.306, 0.703), Tb at (0.000, 0.395, 0.033), Tb at (0.000, 0.471, 0.736), Ce at (0.000, 0.191, 0.009), Dy at (0.000, 0.114, 0.310), Dy at (0.000, 0.135, 0.694) and Y at (0.000, 0.403, 0.416).



Entry 7:
A plane-wave DFT calculation with PBE was carried out for crystalline TbCe2Dy3Y6 at its relaxed geometry.

The space group is C2/m (No. 12) and the conventional cell measures 6.162, 10.670 and 11.775 Å, with angles of 90.00, 100.04 and 90.00 degrees. Symmetry generates all atoms from Tb at (0.000, 0.000, 0.000), Ce at (0.000, 0.333, 0.000), Dy at (0.000, 0.166, 0.500), Dy at (0.000, 0.500, 0.500), Y at (0.248, 0.500, 0.249) and Y at (0.249, 0.332, 0.751).



Entry 8:
A plane-wave DFT calculation with PBE was carried out for crystalline Tb3Ce2Dy6Y at its relaxed geometry.

The space group is C2/m (No. 12) and the conventional cell measures 6.140, 10.632 and 11.744 Å, with angles of 90.00, 100.03 and 90.00 degrees. Symmetry generates all atoms from Tb at (0.000, 0.000, 0.000), Tb at (0.000, 0.334, 0.000), Ce at (0.000, 0.166, 0.500), Dy at (0.248, 0.000, 0.749), Dy at (0.248, 0.168, 0.251) and Y at (0.000, 0.500, 0.500).



Entry 9:
A plane-wave DFT calculation with PBE was carried out for crystalline Tb2CeDyY6 at its relaxed geometry.

The space group is C2/c (No. 15) and the conventional cell measures 9.143, 14.796 and 9.799 Å, with angles of 90.00, 100.44 and 90.00 degrees. Symmetry generates all atoms from Tb at (0.236, 0.046, 0.048), Ce at (0.000, 0.406, 0.250), Dy at (0.000, 0.021, 0.750), Y at (0.069, 0.186, 0.442), Y at (0.095, 0.398, 0.618) and Y at (0.203, 0.223, 0.817).



Entry 10:
A plane-wave DFT calculation with PBE was carried out for crystalline Tb3CeDy6Y2 at its relaxed geometry.

The space group is C2/m (No. 12) and the conventional cell measures 6.155, 10.656 and 11.777 Å, with angles of 90.00, 100.02 and 90.00 degrees. Symmetry generates all atoms from Tb at (0.000, 0.000, 0.000), Tb at (0.000, 0.333, 0.000), Ce at (0.000, 0.500, 0.500), Dy at (0.247, 0.500, 0.250), Dy at (0.249, 0.335, 0.750) and Y at (0.000, 0.167, 0.500).



| no. | E_form (eV per atom) |
| --- | --- |
| 1 | 0.04 |
| 2 | 0.05 |
| 3 | 0.04 |
| 4 | 0.05 |
| 5 | 0.17 |
| 6 | 0.17 |
| 7 | 0.05 |
| 8 | 0.05 |
| 9 | 0.16 |
| 10 | 0.04 |